Computed, not measured: crystalline Tl2RhBr at its relaxed geometry at the PBE-GGA level of DFT.

Calculated volume = 25.7 A^3/atom
VASP energy = -3.18 eV/atom
Total magnetic moment = 0.14 μB/f.u.
Space-group type = I-4m2
Uncorrected formation energy = 1.030 eV per formula unit

Cell lengths 6.4461, 6.4461, 6.4461 Å; angles 141.58, 141.58, 55.46 degrees
Closest atoms and distances in Å follow each position.
Element x y z (fractional)
Tl (0.0000, 0.0000, 0.0000)  4 Br 3.00
Tl (0.2500, 0.7500, 0.5000)  4 Rh 3.00
Br (0.5000, 0.5000, 0.0000)  4 Tl 3.00
Rh (0.7500, 0.2500, 0.5000)  4 Tl 3.00